VASP calculation (GGA+U) on a relaxed structure of LiCoPO4.

Output
The magnetic moment is 3.00 μB per formula unit. Its calculated density is 3.0 g/cm³. The energy above the most stable polymorph in this dataset comes out at 0.0443 eV per atom.

abc: 15.098 15.098 8.007
angles: 90.00 90.00 120.00
Positions (direct):
Co  0.557  0.752  0.265
Co  0.909  0.136  0.307
Li  0.985  0.646  0.081
Co  0.805  0.557  0.765
Li  0.695  0.688  0.991
O  0.534  0.906  0.528
Co  0.091  0.864  0.807
O  0.882  0.198  0.820
O  0.145  0.432  0.034
O  0.457  0.017  0.746
Co  0.248  0.805  0.265
O  0.855  0.568  0.534
P  0.225  0.092  0.700
O  0.288  0.855  0.034
O  0.372  0.466  0.528
O  0.552  0.856  0.890
O  0.802  0.684  0.820
O  0.028  0.219  0.161
P  0.894  0.420  0.864
Li  0.015  0.354  0.581
O  0.856  0.303  0.390
O  0.522  0.628  0.402
O  0.017  0.560  0.246
Co  0.752  0.195  0.765
O  0.448  0.790  0.280
O  0.895  0.522  0.902
O  0.225  0.875  0.756
Li  0.312  0.008  0.991
O  0.144  0.697  0.890
Co  0.227  0.091  0.307
O  0.684  0.882  0.320
O  0.543  0.325  0.274
O  0.343  0.552  0.280
O  0.316  0.118  0.820
Li  0.662  0.015  0.081
O  0.560  0.543  0.746
Co  0.136  0.227  0.807
O  0.781  0.809  0.161
O  0.952  0.192  0.535
O  0.657  0.448  0.780
Co  0.471  0.893  0.747
O  0.219  0.191  0.661
P  0.580  0.473  0.864
O  0.983  0.440  0.746
O  0.457  0.675  0.774
O  0.809  0.028  0.661
O  0.675  0.217  0.274
P  0.244  0.800  0.865
O  0.697  0.552  0.390
O  0.972  0.781  0.661
O  0.552  0.210  0.780
O  0.466  0.094  0.028
P  0.908  0.132  0.700
O  0.191  0.972  0.161
P  0.092  0.868  0.200
O  0.628  0.105  0.902
Li  0.688  0.992  0.491
P  0.132  0.225  0.200
O  0.790  0.343  0.780
O  0.808  0.760  0.535
O  0.876  0.989  0.286
O  0.783  0.457  0.274
P  0.106  0.580  0.364
O  0.478  0.372  0.902
O  0.011  0.887  0.286
Co  0.864  0.773  0.307
P  0.527  0.106  0.864
O  0.543  0.983  0.246
O  0.875  0.651  0.256
P  0.556  0.756  0.865
O  0.113  0.124  0.286
O  0.105  0.478  0.402
P  0.756  0.200  0.365
O  0.372  0.895  0.402
O  0.887  0.876  0.786
O  0.048  0.808  0.035
O  0.303  0.448  0.890
Li  0.000  0.000  0.838
O  0.210  0.657  0.280
P  0.420  0.527  0.364
O  0.094  0.628  0.528
O  0.651  0.775  0.756
O  0.906  0.372  0.028
Li  0.646  0.662  0.581
O  0.349  0.225  0.256
Li  0.338  0.985  0.581
O  0.118  0.802  0.320
Co  0.443  0.248  0.765
P  0.800  0.556  0.365
P  0.868  0.775  0.700
Co  0.422  0.529  0.747
Co  0.578  0.471  0.247
O  0.760  0.952  0.035
Li  0.000  0.000  0.338
O  0.217  0.543  0.774
P  0.200  0.444  0.865
O  0.440  0.457  0.246
O  0.989  0.113  0.786
P  0.444  0.244  0.365
O  0.448  0.144  0.390
O  0.240  0.048  0.535
O  0.124  0.011  0.786
O  0.628  0.534  0.028
Li  0.305  0.312  0.491
Li  0.333  0.667  0.225
Li  0.008  0.695  0.491
O  0.568  0.712  0.034
Li  0.992  0.305  0.991
O  0.432  0.288  0.534
O  0.198  0.316  0.320
Li  0.667  0.333  0.725
Co  0.107  0.578  0.747
Co  0.529  0.107  0.247
Li  0.354  0.338  0.081
Co  0.195  0.443  0.265
Li  0.333  0.667  0.731
Li  0.667  0.333  0.231
O  0.192  0.240  0.035
O  0.775  0.125  0.256
Co  0.893  0.422  0.247
O  0.325  0.783  0.774
O  0.125  0.349  0.756
O  0.712  0.145  0.534
P  0.473  0.894  0.364
P  0.775  0.908  0.200
Co  0.773  0.909  0.807